The following is a PBE-GGA calculation of Y3SbP after structural relaxation, from the Alexandria database.

a b c (Å): 4.199 8.403 14.845
angles (deg): 90.00 90.00 90.00
Fractional positions:
Y: 0.750 0.661 0.478
Y: 0.750 0.521 0.891
Y: 0.250 0.339 0.522
Y: 0.750 0.813 0.215
Y: 0.250 0.979 0.391
Y: 0.750 0.161 0.022
Y: 0.750 0.021 0.609
Y: 0.250 0.479 0.109
Y: 0.750 0.313 0.285
Y: 0.250 0.187 0.785
Y: 0.250 0.687 0.715
Y: 0.250 0.839 0.978
Sb: 0.750 0.405 0.680
Sb: 0.250 0.595 0.320
Sb: 0.750 0.905 0.820
Sb: 0.250 0.095 0.180
P: 0.750 0.175 0.446
P: 0.250 0.825 0.554
P: 0.750 0.675 0.054
P: 0.250 0.325 0.946

Output
formation energy from raw total energies	-5.79	eV/f.u.
final energy	-6.942	eV per atom

***

The following is a PBE-GGA calculation of YSbP after structural relaxation, from the Alexandria database.

a b c (Å): 4.767 4.767 4.767
angles (deg): 60.00 60.00 60.00
Fractional positions:
Y: 0.500 0.500 0.500
P: 0.750 0.750 0.750
Sb: 0.000 0.000 0.000

Output
formation energy from raw total energies	-1.26	eV/f.u.
final energy	-5.752	eV per atom
E above lowest polymorph	374	meV per atom

***

The following is a PBE-GGA calculation of YSb2P after structural relaxation, from the Alexandria database.

a b c (Å): 6.275 6.275 4.271
angles (deg): 85.60 85.60 38.20
Fractional positions:
Y: 0.500 0.500 0.500
Sb: 0.227 0.227 0.738
Sb: 0.773 0.773 0.262
P: 0.000 0.000 0.000

Output
formation energy from raw total energies	-2.05	eV/f.u.
final energy	-5.542	eV per atom